# Ga6AuI12 | Alexandria via LeMat-Bulk | PBE-GGA | optimized geometry
# total moment	0.00	μB per cell
# total energy	-2.42	eV per atom
# raw formation energy	-5.914	eV per formula unit
# density	4.1	Mg/m³
data_Ga6AuI12
_symmetry_space_group_name_H-M 'R -3'
_symmetry_Int_Tables_number 148
_symmetry_space_group_name_Hall '-R 3'
_cell_length_a 20.4393
_cell_length_b 20.4393
_cell_length_c 7.2433
_cell_angle_alpha 90.00
_cell_angle_beta 90.00
_cell_angle_gamma 120.00
loop_
_atom_site_label
_atom_site_type_symbol
_atom_site_fract_x
_atom_site_fract_y
_atom_site_fract_z
Ga1 Ga 0.0129 0.8925 0.3388
Au1 Au 0.0000 0.0000 0.5000
I1 I 0.0197 0.8325 0.0223
I2 I 0.0952 0.5280 0.1683



# AlMo2Se | Alexandria via LeMat-Bulk | PBE-GGA | optimized geometry
# polymorph energy (0 for the lowest one)	500.9	meV/atom
# total moment	0.00	μB per cell
# total energy	-6.81	eV per atom
# raw formation energy	1.646	eV per formula unit
# density	7.7	Mg/m³
data_AlMo2Se
_symmetry_space_group_name_H-M 'I 4/m m m'
_symmetry_Int_Tables_number 139
_symmetry_space_group_name_Hall '-I 4 2'
_cell_length_a 3.8471
_cell_length_b 3.8471
_cell_length_c 8.7114
_cell_angle_alpha 90.00
_cell_angle_beta 90.00
_cell_angle_gamma 90.00
loop_
_atom_site_label
_atom_site_type_symbol
_atom_site_fract_x
_atom_site_fract_y
_atom_site_fract_z
Al1 Al 0.0000 0.0000 0.0000
Mo1 Mo 0.0000 0.5000 0.2500
Se1 Se 0.0000 0.0000 0.5000



# SrCdTe2 | Alexandria via LeMat-Bulk | PBE-GGA | optimized geometry
# total moment	0.00	μB per cell
# total energy	-3.15	eV per atom
# raw formation energy	-3.731	eV per formula unit
# density	5.5	Mg/m³
data_SrCdTe2
_symmetry_space_group_name_H-M 'P 4 m m'
_symmetry_Int_Tables_number 99
_symmetry_space_group_name_Hall 'P 4 -2'
_cell_length_a 4.5497
_cell_length_b 4.5497
_cell_length_c 6.6812
_cell_angle_alpha 90.00
_cell_angle_beta 90.00
_cell_angle_gamma 90.00
loop_
_atom_site_label
_atom_site_type_symbol
_atom_site_fract_x
_atom_site_fract_y
_atom_site_fract_z
Sr1 Sr 0.0000 0.0000 0.0000
Cd1 Cd 0.5000 0.5000 0.5624
Te1 Te 0.0000 0.0000 0.4989
Te2 Te 0.5000 0.5000 0.0001



# CsNpAg2Cl6 | Alexandria via LeMat-Bulk | PBE-GGA | optimized geometry
# total moment	4.00	μB per cell
# total energy	-4.31	eV per atom
# raw formation energy	-12.538	eV per formula unit
# density	4.0	Mg/m³
data_CsNpAg2Cl6
_symmetry_space_group_name_H-M 'P 1'
_symmetry_Int_Tables_number 1
_symmetry_space_group_name_Hall 'P 1'
_cell_length_a 7.5764
_cell_length_b 7.5765
_cell_length_c 8.0068
_cell_angle_alpha 89.96
_cell_angle_beta 61.77
_cell_angle_gamma 60.03
loop_
_atom_site_label
_atom_site_type_symbol
_atom_site_fract_x
_atom_site_fract_y
_atom_site_fract_z
Cs1 Cs 0.0000 0.0000 0.0000
Np1 Np 0.9978 0.5011 0.5031
Ag1 Ag 0.4057 0.2965 0.8918
Ag2 Ag 0.5091 0.7464 0.2364
Cl1 Cl 0.1866 0.5229 0.7100
Cl2 Cl 0.2439 0.6462 0.2214
Cl3 Cl 0.4242 0.1112 0.2196
Cl4 Cl 0.5802 0.8959 0.7088
Cl5 Cl 0.8140 0.2893 0.7093
Cl6 Cl 0.8887 0.4655 0.2212



# MgTlSi | Alexandria via LeMat-Bulk | PBE-GGA | optimized geometry
# polymorph energy (0 for the lowest one)	144.2	meV/atom
# total moment	0.00	μB per cell
# total energy	-2.88	eV per atom
# raw formation energy	0.731	eV per formula unit
# density	5.7	Mg/m³
data_MgTlSi
_symmetry_space_group_name_H-M 'F -4 3 m'
_symmetry_Int_Tables_number 216
_symmetry_space_group_name_Hall 'F -4 2 3'
_cell_length_a 6.6870
_cell_length_b 6.6870
_cell_length_c 6.6870
_cell_angle_alpha 90.00
_cell_angle_beta 90.00
_cell_angle_gamma 90.00
loop_
_atom_site_label
_atom_site_type_symbol
_atom_site_fract_x
_atom_site_fract_y
_atom_site_fract_z
Mg1 Mg 0.0000 0.0000 0.0000
Tl1 Tl 0.0000 0.0000 0.5000
Si1 Si 0.2500 0.2500 0.7500



# Pu3MgPd4 | Alexandria via LeMat-Bulk | PBE-GGA | optimized geometry
# polymorph energy (0 for the lowest one)	0.0	meV/atom
# total moment	16.58	μB per cell
# total energy	-8.62	eV per atom
# density	12.0	Mg/m³
# DFT formation energy	-445	meV/atom
data_Pu3MgPd4
_symmetry_space_group_name_H-M 'P m m m'
_symmetry_Int_Tables_number 47
_symmetry_space_group_name_Hall '-P 2 2'
_cell_length_a 3.2240
_cell_length_b 5.0258
_cell_length_c 10.1056
_cell_angle_alpha 90.00
_cell_angle_beta 90.00
_cell_angle_gamma 90.00
loop_
_atom_site_label
_atom_site_type_symbol
_atom_site_fract_x
_atom_site_fract_y
_atom_site_fract_z
Pu1 Pu 0.0000 0.0000 0.0000
Pu2 Pu 0.0000 0.5000 0.2528
Mg1 Mg 0.0000 0.0000 0.5000
Pd1 Pd 0.5000 0.0000 0.2747
Pd2 Pd 0.5000 0.5000 0.0000
Pd3 Pd 0.5000 0.5000 0.5000



Q: The lowest density belongs to which entry?
A: CsNpAg2Cl6